(1)
First-principles (PBE) data for a geometry-optimized ZnSN2F structure, as listed in Alexandria.

a b c (Å): 3.9710 3.9710 3.7724
angles (deg): 90.00 90.00 90.00
With the nearest neighbours (Å) after each atom.
Fractional positions:
Zn 0.0000 0.0000 0.0000  2 F 1.89, 4 N 1.99
S 0.5000 0.5000 0.5000  8 N 2.74, 4 F 2.81
N 0.0000 0.5000 0.0000  2 Zn 1.99
N 0.5000 0.0000 0.0000  2 Zn 1.99
F 0.0000 0.0000 0.5000  2 Zn 1.89

ΔE_f (raw) = 1.340 eV/atom
V = 59 Å³/cell
DOS at the Fermi energy = 3.38 states/eV/f.u.
spin magnetization = 0.001 μB per formula unit
total DFT energy (no corrections) = -3.4451 eV per atom
relative energy among the computed polymorphs = 512.6 meV per atom

---

(2)
First-principles (PBE) data for a geometry-optimized Zn2SNF structure, as listed in Alexandria.

a b c (Å): 3.9913 3.9913 5.0674
angles (deg): 90.00 90.00 90.00
With the nearest neighbours (Å) after each atom.
Fractional positions:
Zn 0.0000 0.5000 0.0000  2 F 2.00
Zn 0.5000 0.0000 0.0000  2 F 2.00
S 0.0000 0.0000 0.5000  2 F 2.53, 4 N 2.82
N 0.5000 0.5000 0.5000  4 S 2.82
F 0.0000 0.0000 0.0000  4 Zn 2.00

ΔE_f (raw) = 1.060 eV/atom
V = 81 Å³/cell
DOS at the Fermi energy = 2.82 states/eV/f.u.
spin magnetization = 0.170 μB per formula unit
total DFT energy (no corrections) = -2.3144 eV per atom

---

(3)
First-principles (PBE) data for a geometry-optimized ZnSN2F structure, as listed in Alexandria.

a b c (Å): 3.9278 3.9278 5.2921
angles (deg): 90.00 90.00 90.00
With the nearest neighbours (Å) after each atom.
Fractional positions:
Zn 0.0000 0.0000 0.0000  4 N 1.96
S 0.0000 0.0000 0.5000  2 Zn 2.65, 4 F 2.78
N 0.0000 0.5000 0.0000  2 Zn 1.96
N 0.5000 0.0000 0.0000  2 Zn 1.96
F 0.5000 0.5000 0.5000  4 S 2.78

ΔE_f (raw) = 1.639 eV/atom
V = 82 Å³/cell
DOS at the Fermi energy = 3.43 states/eV/f.u.
spin magnetization = 6.113 μB per formula unit
total DFT energy (no corrections) = -3.1460 eV per atom
relative energy among the computed polymorphs = 811.7 meV per atom

---

(4)
First-principles (PBE) data for a geometry-optimized ZnSN2F structure, as listed in Alexandria.

a b c (Å): 3.3463 3.3463 5.9272
angles (deg): 90.00 90.00 90.00
With the nearest neighbours (Å) after each atom.
Fractional positions:
Zn 0.0000 0.0000 0.0000  4 F 2.37
S 0.5000 0.5000 0.5000  4 N 1.67
N 0.0000 0.5000 0.5000  2 S 1.67
N 0.5000 0.0000 0.5000  2 S 1.67
F 0.5000 0.5000 0.0000  4 Zn 2.37

ΔE_f (raw) = 0.827 eV/atom
V = 66 Å³/cell
DOS at the Fermi energy = 2.19 states/eV/f.u.
spin magnetization = 0.000 μB per formula unit
total DFT energy (no corrections) = -3.9577 eV per atom
relative energy among the computed polymorphs = 0.0 meV per atom

---

(5)
First-principles (PBE) data for a geometry-optimized ZnSN2F structure, as listed in Alexandria.

a b c (Å): 3.6332 3.6332 6.2015
angles (deg): 90.00 90.00 90.00
With the nearest neighbours (Å) after each atom.
Fractional positions:
Zn 0.0000 0.0000 0.0000  4 S 2.57
S 0.5000 0.5000 0.0000  4 Zn 2.57
N 0.0000 0.5000 0.5000  2 F 1.82
N 0.5000 0.0000 0.5000  2 F 1.82
F 0.5000 0.5000 0.5000  4 N 1.82

ΔE_f (raw) = 1.966 eV/atom
V = 82 Å³/cell
DOS at the Fermi energy = 1.02 states/eV/f.u.
spin magnetization = 3.669 μB per formula unit
total DFT energy (no corrections) = -2.8185 eV per atom
relative energy among the computed polymorphs = 1139.2 meV per atom

---

(6)
First-principles (PBE) data for a geometry-optimized ZrS2NF structure, as listed in Alexandria.

a b c (Å): 5.0735 5.0735 4.2345
angles (deg): 90.00 90.00 90.00
With the nearest neighbours (Å) after each atom.
Fractional positions:
Zr 0.0000 0.0000 0.0000  2 N 2.12
S 0.0000 0.5000 0.0000  2 Zr 2.54
S 0.5000 0.0000 0.0000  2 Zr 2.54
N 0.0000 0.0000 0.5000  2 Zr 2.12
F 0.5000 0.5000 0.5000  8 S 3.30, 4 N 3.59

ΔE_f (raw) = 0.091 eV/atom
V = 109 Å³/cell
DOS at the Fermi energy = 5.87 states/eV/f.u.
spin magnetization = 3.864 μB per formula unit
total DFT energy (no corrections) = -5.3090 eV per atom
relative energy among the computed polymorphs = 0.0 meV per atom